SrZn3Pt: relaxed, GGA-PBEsol.

Unit cell a=4.806 b=4.806 c=4.806 alpha=90.00 beta=90.00 gamma=90.00
Fractional coordinates of all 5 atoms:
Sr (0.500, 0.500, 0.500)
Zn (0.000, 0.500, 0.000)
Zn (0.000, 0.000, 0.500)
Zn (0.500, 0.000, 0.000)
Pt (0.000, 0.000, 0.000)

Values from the calculation:
DFT formation energy	-7.90	kcal/mol of atoms
calculated volume	111.04	Å³ per cell